(1)
This record from Alexandria via LeMat-Bulk describes crystalline CsY2ZrSi at its relaxed geometry. The functional is PBE.

Cell lengths 5.6294, 5.6294, 5.2708 Å; angles 90.00, 90.00, 90.00 degrees
Closest atoms and distances in Å follow each position.
Element x y z (fractional)
Cs 0.0000 0.0000 0.0000  8 Y 3.86, 4 Zr 3.98
Y 0.0000 0.5000 0.5000  2 Si 2.81
Y 0.5000 0.0000 0.5000  2 Si 2.81
Zr 0.5000 0.5000 0.0000  2 Si 2.64
Si 0.5000 0.5000 0.5000  2 Zr 2.64, 4 Y 2.81

## Properties
As for the space-group type: P4/mmm (123). The raw total energy is -25.8 eV per formula unit. The calculation puts the spin magnetization at 0.0 μB/cell. Its formation energy (no corrections) is 0.39 eV/atom.

(2)
This record from Alexandria via LeMat-Bulk describes crystalline CsZn2Si at its relaxed geometry. The functional is PBE.

Cell lengths 4.3682, 4.3682, 20.1978 Å; angles 90.00, 90.00, 120.00 degrees
Closest atoms and distances in Å follow each position.
Element x y z (fractional)
Cs 0.0000 0.0000 0.0000  8 Zn 3.79-3.91, 6 Si 4.21
Cs 0.3333 0.6667 0.6667  8 Zn 3.79-3.91, 6 Si 4.21
Cs 0.6667 0.3333 0.3333  8 Zn 3.79-3.91, 6 Si 4.21
Zn 0.0000 0.0000 0.1933  3 Si 2.58, 3 Zn 2.74
Zn 0.0000 0.0000 0.8067  3 Si 2.58, 3 Zn 2.74
Zn 0.3333 0.6667 0.4733  3 Si 2.58, 3 Zn 2.74
Zn 0.3333 0.6667 0.8600  3 Si 2.58, 3 Zn 2.74
Zn 0.6667 0.3333 0.1400  3 Si 2.58, 3 Zn 2.74
Zn 0.6667 0.3333 0.5267  3 Si 2.58, 3 Zn 2.74
Si 0.0000 0.0000 0.5000  6 Zn 2.58
Si 0.3333 0.6667 0.1667  6 Zn 2.58
Si 0.6667 0.3333 0.8333  6 Zn 2.58

## Properties
As for the space-group type: R-3m (166). The raw total energy is -8.5 eV per formula unit. The calculation puts the spin magnetization at 0.0 μB/cell. Its formation energy (no corrections) is 0.09 eV/atom.

(3)
This record from Alexandria via LeMat-Bulk describes crystalline CsZnSi at its relaxed geometry. The functional is PBE.

Cell lengths 4.2262, 4.4819, 13.0513 Å; angles 90.81, 99.12, 118.12 degrees
Closest atoms and distances in Å follow each position.
Element x y z (fractional)
Cs 0.0000 0.0000 0.0000  3 Si 3.61-3.74, 3 Zn 3.74-3.84
Cs 0.4421 0.4670 0.4040  3 Zn 3.66-3.76, 3 Si 3.72-4.02
Zn 0.2462 0.8691 0.6134  4 Si 2.44-2.66, 1 Zn 2.54
Zn 0.5241 0.2597 0.7824  3 Si 2.51-2.61, 1 Zn 2.54
Si 0.2025 0.6042 0.7951  1 Si 2.45, 4 Zn 2.51-2.66
Si 0.9464 0.2569 0.6267  3 Zn 2.44-2.61, 1 Si 2.45

## Properties
For the energy above the most stable polymorph in this dataset, the calculation gives 0.05 eV per formula unit. As for the space-group type: P1 (1). The raw total energy is -7.3 eV per formula unit. The calculation puts the spin magnetization at 0.0 μB/cell. Its formation energy (no corrections) is 0.07 eV/atom.

(4)
This record from Alexandria via LeMat-Bulk describes crystalline Cs2Zn2Si at its relaxed geometry. The functional is PBE.

Cell lengths 7.1593, 7.1593, 6.0457 Å; angles 90.00, 90.00, 90.00 degrees
Closest atoms and distances in Å follow each position.
Element x y z (fractional)
Cs 0.1808 0.3192 0.0000  6 Zn 3.50-3.83, 5 Cs 3.66-3.71
Cs 0.3192 0.8192 0.0000  6 Zn 3.50-3.83, 5 Cs 3.66-3.71
Cs 0.6808 0.1808 0.0000  6 Zn 3.50-3.83, 5 Cs 3.66-3.71
Cs 0.8192 0.6808 0.0000  6 Zn 3.50-3.83, 5 Cs 3.66-3.71
Zn 0.1453 0.6453 0.5000  2 Si 2.74, 1 Zn 2.94
Zn 0.3547 0.1453 0.5000  2 Si 2.74, 1 Zn 2.94
Zn 0.6453 0.8547 0.5000  2 Si 2.74, 1 Zn 2.94
Zn 0.8547 0.3547 0.5000  2 Si 2.74, 1 Zn 2.94
Si 0.0000 0.0000 0.5000  4 Zn 2.74
Si 0.5000 0.5000 0.5000  4 Zn 2.74

## Properties
As for the space-group type: P4/mbm (127). The raw total energy is -8.3 eV per formula unit. The calculation puts the spin magnetization at 0.0 μB/cell. Its formation energy (no corrections) is 0.28 eV/atom.